Record 1
Pr2HoSc: relaxed, PBE.

CIF file:
```
data_Pr2HoSc
_chemical_formula_sum 'Pr2 Ho1 Sc1'
_symmetry_space_group_name_H-M 'P 4/m m m'
_symmetry_Int_Tables_number 123
_symmetry_space_group_name_Hall '-P 4 2'
_cell_length_a 5.080
_cell_length_b 5.080
_cell_length_c 4.907
_cell_angle_alpha 90.00
_cell_angle_beta 90.00
_cell_angle_gamma 90.00
loop_
_atom_site_label
_atom_site_type_symbol
_atom_site_fract_x
_atom_site_fract_y
_atom_site_fract_z
_atom_site_occupancy
Pr1 Pr 0.000 0.500 0.000 1
Ho1 Ho 0.000 0.000 0.500 1
Sc1 Sc 0.500 0.500 0.500 1
```

## Properties
Energy relative to the lowest polymorph listed for this composition, eV per atom: 0.0023



Record 2
La2UP3Ir12: relaxed, PBE.

CIF file:
```
data_La2UP3Ir12
_chemical_formula_sum 'La6 U3 P9 Ir36'
_symmetry_space_group_name_H-M 'R -3 m'
_symmetry_Int_Tables_number 166
_symmetry_space_group_name_Hall '-R 3 2"'
_cell_length_a 8.1484
_cell_length_b 8.1484
_cell_length_c 18.0383
_cell_angle_alpha 90.00
_cell_angle_beta 90.00
_cell_angle_gamma 120.00
loop_
_atom_site_label
_atom_site_type_symbol
_atom_site_fract_x
_atom_site_fract_y
_atom_site_fract_z
_atom_site_occupancy
La1 La 0.0000 0.0000 0.1013 1
U1 U 0.0000 0.0000 0.5000 1
P1 P 0.0000 0.5000 0.0000 1
Ir1 Ir 0.0153 0.5076 0.8712 1
Ir2 Ir 0.0424 0.5212 0.3643 1
```

## Properties
VASP energy, eV per cell: -435.92



- Which formula does entry 2 have?
  La2UP3Ir12